# LiTmGa2 (PBE, optimized geometry)
# energy above the most stable polymorph in this dataset: 0.0000 eV/atom
# calculated total energy: -57.5 eV per cell
# DOS at the Fermi energy: 0.31 states/eV per atom
# ΔH_f (0 K): -0.487 eV per atom
# total moment: 0.00 μB per formula unit
data_LiTmGa2
_space_group_name_H-M_alt 'P n m a'
_space_group_IT_number 62
_cell_length_a 6.9667
_cell_length_b 4.2910
_cell_length_c 10.0927
_cell_angle_alpha 90.00
_cell_angle_beta 90.00
_cell_angle_gamma 90.00
loop_
_space_group_symop_operation_xyz
'x,y,z'
'-x,-y,-z'
'-x+1/2,-y,z+1/2'
'x+1/2,y,-z+1/2'
'x+1/2,-y+1/2,-z+1/2'
'-x+1/2,y+1/2,z+1/2'
'-x,y+1/2,-z'
'x,-y+1/2,z'
loop_
_atom_site_label
_atom_site_fract_x
_atom_site_fract_y
_atom_site_fract_z
_atom_site_occupancy
Li1 0.0466 0.2500 0.0955 1
Tm1 0.2086 0.7500 0.3272 1
Ga1 0.0797 0.7500 0.6547 1
Ga2 0.2176 0.2500 0.5356 1

---

# La3Pd4Pt4 (PBE, optimized geometry)
# calculated total energy: -131.7 eV per cell
# DOS at the Fermi energy: 0.74 states/eV per atom
# ΔH_f (0 K): -0.555 eV per atom
# total moment: 0.00 μB per formula unit
data_La3Pd4Pt4
_space_group_name_H-M_alt 'I -4 3 m'
_space_group_IT_number 217
_space_group_name_Hall 'I -4 2 3'
_cell_length_a 7.9283
_cell_length_b 7.9283
_cell_length_c 7.9283
_cell_angle_alpha 90.00
_cell_angle_beta 90.00
_cell_angle_gamma 90.00
loop_
_atom_site_label
_atom_site_fract_x
_atom_site_fract_y
_atom_site_fract_z
_atom_site_occupancy
La1 0.0000 0.0000 0.5000 1
Pd1 0.1222 0.1222 0.1222 1
Pt1 0.1969 0.1969 0.8031 1

---

# LiAcLu2 (PBE, optimized geometry)
# energy above the most stable polymorph in this dataset: 0.0000 eV/atom
# calculated total energy: -14.5 eV per cell
# DOS at the Fermi energy: 1.51 states/eV per atom
# ΔH_f (0 K): 0.132 eV per atom
# total moment: 0.00 μB per formula unit
data_LiAcLu2
_space_group_name_H-M_alt 'P 4/m m m'
_space_group_IT_number 123
_space_group_name_Hall '-P 4 2'
_cell_length_a 3.7687
_cell_length_b 3.7687
_cell_length_c 8.5502
_cell_angle_alpha 90.00
_cell_angle_beta 90.00
_cell_angle_gamma 90.00
loop_
_atom_site_label
_atom_site_fract_x
_atom_site_fract_y
_atom_site_fract_z
_atom_site_occupancy
Li1 0.0000 0.0000 0.0000 1
Ac1 0.0000 0.0000 0.5000 1
Lu1 0.5000 0.5000 0.2028 1

---

# LiPSeO2 (PBE, optimized geometry)
# formation energy from raw total energies: -18 meV/atom
# energy above the most stable polymorph in this dataset: 0.0000 eV/atom
# calculated total energy: -20.8 eV per cell
# DOS at the Fermi energy: 0.50 states/eV per atom
# total moment: 0.00 μB per formula unit
data_LiPSeO2
_space_group_name_H-M_alt 'P 4/m m m'
_space_group_IT_number 123
_space_group_name_Hall '-P 4 2'
_cell_length_a 3.7987
_cell_length_b 3.7987
_cell_length_c 5.0446
_cell_angle_alpha 90.00
_cell_angle_beta 90.00
_cell_angle_gamma 90.00
loop_
_atom_site_label
_atom_site_fract_x
_atom_site_fract_y
_atom_site_fract_z
_atom_site_occupancy
Li1 0.0000 0.0000 0.0000 1
P1 0.5000 0.5000 0.0000 1
Se1 0.5000 0.5000 0.5000 1
O1 0.0000 0.5000 0.5000 1

---

# Pr3Sn2Pd (PBE, optimized geometry)
# calculated total energy: -129.1 eV per cell
# DOS at the Fermi energy: 0.76 states/eV per atom
# ΔH_f (0 K): -0.790 eV per atom
# total moment: 0.65 μB per formula unit
data_Pr3Sn2Pd
_space_group_name_H-M_alt 'P n m a'
_space_group_IT_number 62
_cell_length_a 12.6431
_cell_length_b 4.6342
_cell_length_c 12.0941
_cell_angle_alpha 90.00
_cell_angle_beta 90.00
_cell_angle_gamma 90.00
loop_
_space_group_symop_operation_xyz
'x,y,z'
'-x,-y,-z'
'-x+1/2,-y,z+1/2'
'x+1/2,y,-z+1/2'
'x+1/2,-y+1/2,-z+1/2'
'-x+1/2,y+1/2,z+1/2'
'-x,y+1/2,-z'
'x,-y+1/2,z'
loop_
_atom_site_label
_atom_site_fract_x
_atom_site_fract_y
_atom_site_fract_z
_atom_site_occupancy
Pr1 0.0521 0.2500 0.1290 1
Pr2 0.1236 0.7500 0.5563 1
Pr3 0.2264 0.2500 0.8020 1
Sn1 0.0085 0.7500 0.3108 1
Sn2 0.1888 0.7500 0.0026 1
Pd1 0.1245 0.2500 0.3730 1

---

# AsSI2 (PBE, optimized geometry)
# formation energy from raw total energies: 617 meV/atom
# energy above the most stable polymorph in this dataset: 0.6829 eV/atom
# calculated total energy: -37.6 eV per cell
# DOS at the Fermi energy: 1.35 states/eV per atom
# total moment: 0.00 μB per formula unit
data_AsSI2
_space_group_name_H-M_alt 'I -4 2 d'
_space_group_IT_number 122
_space_group_name_Hall 'I -4 2bw'
_cell_length_a 7.8031
_cell_length_b 7.8031
_cell_length_c 8.0617
_cell_angle_alpha 90.00
_cell_angle_beta 90.00
_cell_angle_gamma 90.00
loop_
_atom_site_label
_atom_site_fract_x
_atom_site_fract_y
_atom_site_fract_z
_atom_site_occupancy
As1 0.0000 0.0000 0.0000 1
S1 0.0000 0.0000 0.5000 1
I1 0.2376 0.2500 0.1250 1

---

# AlP4 (PBE, optimized geometry)
# calculated total energy: -20.3 eV per cell
# DOS at the Fermi energy: 0.79 states/eV per atom
# ΔH_f (0 K): 1.014 eV per atom
# total moment: 0.00 μB per formula unit
data_AlP4
_space_group_name_H-M_alt 'P m -3 m'
_space_group_IT_number 221
_space_group_name_Hall '-P 4 2 3'
_cell_length_a 4.5818
_cell_length_b 4.5818
_cell_length_c 4.5818
_cell_angle_alpha 90.00
_cell_angle_beta 90.00
_cell_angle_gamma 90.00
loop_
_atom_site_label
_atom_site_fract_x
_atom_site_fract_y
_atom_site_fract_z
_atom_site_occupancy
Al1 0.0000 0.0000 0.0000 1
P1 0.0000 0.0000 0.5000 1
P2 0.5000 0.5000 0.5000 1

---

# Re2NiCl8 (PBE, optimized geometry)
# formation energy from raw total energies: -355 meV/atom
# calculated total energy: -98.7 eV per cell
# DOS at the Fermi energy: 0.57 states/eV per atom
# total moment: 3.55 μB per formula unit
data_Re2NiCl8
_space_group_name_H-M_alt 'C 1 2/m 1'
_space_group_IT_number 12
_cell_length_a 6.2854
_cell_length_b 9.6216
_cell_length_c 10.1084
_cell_angle_alpha 90.00
_cell_angle_beta 94.46
_cell_angle_gamma 90.00
loop_
_space_group_symop_operation_xyz
'x,y,z'
'-x,-y,-z'
'-x,y,-z'
'x,-y,z'
'x+1/2,y+1/2,z'
'-x+1/2,-y+1/2,-z'
'-x+1/2,y+1/2,-z'
'x+1/2,-y+1/2,z'
loop_
_atom_site_label
_atom_site_fract_x
_atom_site_fract_y
_atom_site_fract_z
_atom_site_occupancy
Re1 0.0000 0.1402 0.0000 1
Ni1 0.0000 0.0000 0.5000 1
Cl1 0.0000 0.2114 0.5000 1
Cl2 0.1808 0.0000 0.1612 1
Cl3 0.1876 0.3287 0.1259 1